Density functional theory data (GGA-PBEsol) for LiCaTc after structural relaxation.

Output
* crystal system: tetragonal
* DOS(E_F): 3.4 states/eV per cell
* total magnetization: 0.00 μB/f.u.
* uncorrected energy: -27.06 eV/cell

Lattice parameters (Å, degrees): 2.730 2.730 14.823 90.00 90.00 90.00
Space group I4mm (No. 107)
Unique sites:
1 Li 0.000 0.000 0.000
2 Ca 0.000 0.000 0.300
3 Tc 0.000 0.000 0.642